VASP calculation (PBE-GGA) on an optimized crystal structure of PmScZn.

Crystal system = cubic
DFT formation energy = 46 meV/atom
Energy above the most stable polymorph in this dataset = 0 meV per atom
Theoretical density = 5.3 g cm⁻³

Geometry as CIF:
```
data_PmScZn
_chemical_formula_sum 'Pm1 Sc1 Zn1'
_space_group_name_H-M_alt 'P 1'
_space_group_IT_number 1
_space_group_name_Hall 'P 1'
_cell_length_a 4.850
_cell_length_b 4.850
_cell_length_c 4.850
_cell_angle_alpha 60.00
_cell_angle_beta 60.00
_cell_angle_gamma 60.00
loop_
_atom_site_label
_atom_site_type_symbol
_atom_site_fract_x
_atom_site_fract_y
_atom_site_fract_z
Zn1 Zn 0.250 0.250 0.250
Pm1 Pm 0.500 0.500 0.500
Sc1 Sc 0.000 0.000 0.000
```